Below is a relaxed structure of ThAgMo, with properties calculated at the PBE level.

Cell: 4.7542 4.7542 4.7542 Å, 60.00 60.00 60.00°
With the nearest neighbours (Å) after each atom.
Element x y z (fractional)
Th 0.0000 0.0000 0.0000  4 Mo 2.91, 4 Ag 2.91
Ag 0.7500 0.7500 0.7500  4 Th 2.91
Mo 0.2500 0.2500 0.2500  4 Th 2.91

Results
energy above the lowest structure with this stoichiometry	419	meV per atom
VASP energy	-5.849	eV per atom
ΔE_f	1.180	eV per atom